A | Density functional theory data (GGA-PBE) for crystalline Pa2AsSe2 at its relaxed geometry.

Unit cell a=4.0731 b=4.0733 c=10.3776 alpha=90.53 beta=90.00 gamma=120.00
Last column: nearest neighbours and their distance in Å.
Atoms (fractional coordinates):
Pa: 0.8308 0.6616 0.3400  3 Se 2.85, 3 As 2.88
Pa: 0.1692 0.3384 0.6600  3 Se 2.85, 3 As 2.88
As: 0.5000 0.0000 0.5000  6 Pa 2.88
Se: 0.1617 0.3234 0.1843  3 Pa 2.85
Se: 0.8383 0.6766 0.8157  3 Pa 2.85

B | Density functional theory data (GGA-PBE) for crystalline Pa2AsSe2 at its relaxed geometry.

Unit cell a=3.9984 b=5.6713 c=7.1089 alpha=113.51 beta=106.33 gamma=90.00
Last column: nearest neighbours and their distance in Å.
Atoms (fractional coordinates):
Pa: 0.6621 0.1621 0.3241  2 As 2.84, 4 Se 2.84-2.93
Pa: 0.3379 0.8379 0.6759  2 As 2.84, 4 Se 2.84-2.93
As: 0.0000 0.0000 0.0000  4 Pa 2.84
Se: 0.3346 0.3346 0.6692  4 Pa 2.84-2.93
Se: 0.6654 0.6654 0.3308  4 Pa 2.84-2.93

Most stable to least stable: A, B

A | Density functional theory data (GGA-PBE) for crystalline Pa2SiAs at its relaxed geometry.

Unit cell a=5.7801 b=5.7801 c=11.5662 alpha=90.00 beta=90.00 gamma=90.00
Last column: nearest neighbours and their distance in Å.
Atoms (fractional coordinates):
Pa: 0.7496 0.0000 0.8772  3 Si 2.87-2.89, 3 As 2.89-2.92
Pa: 0.2504 0.0000 0.1228  3 Si 2.87-2.89, 3 As 2.89-2.92
Pa: 0.7496 0.5000 0.6228  3 Si 2.87-2.89, 3 As 2.89-2.92
Pa: 0.2504 0.5000 0.3772  3 Si 2.87-2.89, 3 As 2.89-2.92
Pa: 0.7504 0.4999 0.1272  3 Si 2.87-2.89, 3 As 2.89-2.92
Pa: 0.2496 0.5001 0.8728  3 Si 2.87-2.89, 3 As 2.89-2.92
Pa: 0.7504 0.0001 0.3728  3 Si 2.87-2.89, 3 As 2.89-2.92
Pa: 0.2496 0.9999 0.6272  3 Si 2.87-2.89, 3 As 2.89-2.92
Si: 0.2495 0.4998 0.6250  6 Pa 2.87-2.89
Si: 0.7505 0.5002 0.3750  6 Pa 2.87-2.89
Si: 0.2495 0.0002 0.8750  6 Pa 2.87-2.89
Si: 0.7505 0.9998 0.1250  6 Pa 2.87-2.89
As: 0.2505 0.0000 0.3750  6 Pa 2.89-2.92
As: 0.7495 0.0000 0.6250  6 Pa 2.89-2.92
As: 0.2505 0.5000 0.1250  6 Pa 2.89-2.92
As: 0.7495 0.5000 0.8750  6 Pa 2.89-2.92

B | Density functional theory data (GGA-PBE) for crystalline Pa2SiAs at its relaxed geometry.

Unit cell a=4.3286 b=5.7219 c=7.9132 alpha=113.41 beta=90.00 gamma=90.00
Last column: nearest neighbours and their distance in Å.
Atoms (fractional coordinates):
Pa: 0.7500 0.2028 0.4372  4 Si 2.88-3.19, 3 As 2.94-3.15
Pa: 0.2500 0.7972 0.5628  4 Si 2.88-3.19, 3 As 2.94-3.15
Pa: 0.7500 0.6924 0.9320  3 Si 2.90-3.16, 4 As 2.92-3.12
Pa: 0.2500 0.3076 0.0680  3 Si 2.90-3.16, 4 As 2.92-3.12
Si: 0.7500 0.5984 0.2992  7 Pa 2.88-3.19, 2 As 3.05
Si: 0.2500 0.4016 0.7008  7 Pa 2.88-3.19, 2 As 3.05
As: 0.7500 0.1013 0.7999  7 Pa 2.92-3.15, 2 Si 3.05
As: 0.2500 0.8987 0.2001  7 Pa 2.92-3.15, 2 Si 3.05

Most stable to least stable: A, B

A | Density functional theory data (GGA-PBE) for crystalline Pa2SiAs at its relaxed geometry.

Unit cell a=3.4784 b=3.4784 c=7.0186 alpha=90.00 beta=90.00 gamma=90.00
Last column: nearest neighbours and their distance in Å.
Atoms (fractional coordinates):
As: 0.5000 0.5000 0.5000  8 Pa 3.05
Pa: 0.0000 0.0000 0.7559  4 Si 3.00, 4 As 3.05
Pa: 0.0000 0.0000 0.2441  4 Si 3.00, 4 As 3.05
Si: 0.5000 0.5000 0.0000  8 Pa 3.00

B | Density functional theory data (GGA-PBE) for crystalline Pa2SiAs at its relaxed geometry.

Unit cell a=4.0894 b=4.0894 c=7.0745 alpha=73.20 beta=73.20 gamma=60.00
Last column: nearest neighbours and their distance in Å.
Atoms (fractional coordinates):
As: 0.0000 0.0000 0.0000  6 Pa 2.92
Pa: 0.7524 0.7524 0.7428  3 Si 2.86, 3 As 2.92
Pa: 0.2476 0.2476 0.2572  3 Si 2.86, 3 As 2.92
Si: 0.5000 0.5000 0.5000  6 Pa 2.86

Most stable to least stable: B, A

A | Density functional theory data (GGA-PBE) for crystalline PaSiAs2 at its relaxed geometry.

Unit cell a=4.0334 b=4.3389 c=4.3389 alpha=90.00 beta=90.00 gamma=90.00
Last column: nearest neighbours and their distance in Å.
Atoms (fractional coordinates):
As: 0.0000 0.0000 0.5000  4 Pa 2.96, 4 Si 2.96, 4 As 3.07
As: 0.0000 0.5000 0.0000  4 Pa 2.96, 4 Si 2.96, 4 As 3.07
Pa: 0.5000 0.5000 0.5000  8 As 2.96, 4 Si 3.07
Si: 0.5000 0.0000 0.0000  8 As 2.96, 4 Pa 3.07

B | Density functional theory data (GGA-PBE) for crystalline PaSiAs2 at its relaxed geometry.

Unit cell a=3.3137 b=3.3137 c=9.2375 alpha=79.67 beta=79.67 gamma=60.00
Last column: nearest neighbours and their distance in Å.
Atoms (fractional coordinates):
As: 0.1076 0.1076 0.6771  3 Si 2.49
As: 0.8924 0.8924 0.3229  3 Si 2.49
Pa: 0.0000 0.0000 0.0000  2 As 2.92
Si: 0.5000 0.5000 0.5000  6 As 2.49

Most stable to least stable: A, B